Pm6Sm2HoTm | PBE | relaxed

abc: 9.6967 8.9339 8.9339
angles: 118.08 94.05 94.05
Sites, in units of the cell vectors:
Ho1 0.7500 0.0230 0.9770
Ho2 0.2500 0.9770 0.0230
Pm1 0.5548 0.7576 0.1231
Pm2 0.1184 0.7097 0.4965
Pm3 0.4452 0.2424 0.8769
Pm4 0.9452 0.8769 0.2424
Pm5 0.8816 0.2903 0.5035
Pm6 0.6184 0.4965 0.7097
Pm7 0.1894 0.5706 0.0138
Pm8 0.3106 0.9862 0.4294
Pm9 0.3816 0.5035 0.2903
Pm10 0.6894 0.0138 0.5706
Pm11 0.8106 0.4294 0.9862
Pm12 0.0548 0.1231 0.7576
Tm1 0.2500 0.4098 0.5902
Tm2 0.7500 0.5902 0.4098
Sm1 0.4564 0.8016 0.7001
Sm2 0.9564 0.7001 0.8016
Sm3 0.0436 0.2999 0.1984
Sm4 0.5436 0.1984 0.2999

Values from the calculation:
DOS(E_F): 27.4 states/eV per cell
E_form: 116 meV/atom
total DFT energy (no corrections): -91.671 eV for the cell shown

NpGaGe2 | PBE | relaxed

abc: 3.5661 3.5661 6.1981
angles: 90.00 90.00 90.00
Each line ends with the local moment (μB).
Sites, in units of the cell vectors:
Ga1 0.5000 0.5000 0.0000  0.00
Np1 0.5000 0.5000 0.5000  3.96
Ge1 0.0000 0.0000 0.2110  -0.02
Ge2 0.0000 0.0000 0.7890  -0.02

Values from the calculation:
relative energy among the computed polymorphs: 0.80 eV/f.u.
DOS(E_F): 5.7 states/eV per cell
E_form: -45 meV/atom
total DFT energy (no corrections): -25.382 eV for the cell shown

PmTm2Pt | PBE | relaxed

abc: 3.5219 3.5219 8.5501
angles: 90.00 90.00 90.00
Sites, in units of the cell vectors:
Pt1 0.5000 0.5000 0.0000
Pm1 0.5000 0.5000 0.5000
Tm1 0.0000 0.0000 0.1896
Tm2 0.0000 0.0000 0.8104

Values from the calculation:
relative energy among the computed polymorphs: 0.28 eV/f.u.
DOS(E_F): 3.8 states/eV per cell
E_form: -643 meV/atom
total DFT energy (no corrections): -22.305 eV for the cell shown

Na6Cd2Au | PBE | relaxed

abc: 5.0952 7.5309 8.8800
angles: 115.09 106.59 90.00
Sites, in units of the cell vectors:
Na1 0.5000 0.7749 0.0000
Na2 0.8395 0.6024 0.6798
Na3 0.5000 0.2251 0.0000
Na4 0.1605 0.9226 0.3202
Na5 0.1605 0.3976 0.3202
Na6 0.8395 0.0774 0.6798
Cd1 0.3373 0.3371 0.6743
Cd2 0.6627 0.6629 0.3257
Au1 0.0000 0.0000 0.0000

Values from the calculation:
relative energy among the computed polymorphs: 0.69 eV/f.u.
DOS(E_F): 3.4 states/eV per cell
E_form: -37 meV/atom
total DFT energy (no corrections): -13.356 eV for the cell shown

CsKMg2Al | PBE | relaxed

abc: 5.5819 6.6488 5.5819
angles: 90.00 90.00 90.00
Sites, in units of the cell vectors:
Al1 0.0000 0.0000 0.0000
K1 0.0000 0.5000 0.0000
Mg1 0.0000 0.0000 0.5000
Mg2 0.5000 0.0000 0.0000
Cs1 0.5000 0.5000 0.5000

Values from the calculation:
DOS(E_F): 3.5 states/eV per cell
E_form: 263 meV/atom
total DFT energy (no corrections): -7.568 eV for the cell shown

Na3Sn2Pb3 | PBE | relaxed

abc: 4.8538 6.3716 17.5623
angles: 90.00 90.00 112.39
Sites, in units of the cell vectors:
Pb1 0.3616 0.7233 0.2500
Pb2 0.6398 0.2797 0.4809
Pb3 0.6398 0.2797 0.0191
Pb4 0.6384 0.2767 0.7500
Pb5 0.3602 0.7203 0.9809
Pb6 0.3602 0.7203 0.5191
Sn1 0.1816 0.3631 0.1259
Sn2 0.8184 0.6369 0.6259
Sn3 0.8184 0.6369 0.8741
Sn4 0.1816 0.3631 0.3741
Na1 0.9073 0.8147 0.3768
Na2 0.9073 0.8147 0.1232
Na3 0.0927 0.1853 0.6232
Na4 0.6383 0.2765 0.2500
Na5 0.3617 0.7235 0.7500
Na6 0.0927 0.1853 0.8768

Values from the calculation:
DOS(E_F): 5.9 states/eV per cell
E_form: -111 meV/atom
total DFT energy (no corrections): -47.955 eV for the cell shown